1.
Entry from Alexandria: a relaxed structure of Na5SmCl8 (PBE).

Results
* symmetry: I-4 (82)
* total energy: -3.768 eV/atom
* raw formation energy: -1.9047 eV per atom

Geometry as extended XYZ:
```
14
Lattice="-4.4777 4.4777 4.1751 4.4777 -4.4777 4.1751 4.4777 4.4777 -4.1751" Properties=species:S:1:pos:R:3 pbc="T T T"
Na 0.0000 0.0000 0.0000
Na 5.9275 2.1712 -1.1889
Na 2.1712 3.0278 1.1889
Na -1.4498 2.3065 2.9862
Na 2.3065 1.4498 5.3640
Sm 4.4777 0.0000 2.0875
Cl -1.6921 4.8930 3.7853
Cl 2.6107 4.0050 -1.3793
Cl -0.4153 2.7856 0.3897
Cl 1.8669 0.4727 2.7958
Cl 4.9503 2.6107 1.3793
Cl 0.4153 6.1697 0.3897
Cl -0.4727 1.8669 5.5544
Cl 1.6921 4.0624 3.7853
```

***

2.
Entry from Alexandria: a relaxed structure of Na3SmCl6 (PBE).

Results
* symmetry: Fm-3m (225)
* total energy: -3.816 eV/atom
* raw formation energy: -1.8407 eV per atom

Geometry as extended XYZ:
```
10
Lattice="0.0000 5.3755 5.3755 5.3755 0.0000 5.3755 5.3755 5.3755 0.0000" Properties=species:S:1:pos:R:3 pbc="T T T"
Na 0.0000 0.0000 0.0000
Na 2.6877 2.6877 2.6877
Na 8.0632 8.0632 8.0632
Sm 5.3755 5.3755 5.3755
Cl 5.3755 5.3755 2.6993
Cl 5.3755 2.6993 5.3755
Cl 8.0517 5.3755 5.3755
Cl 2.6993 5.3755 5.3755
Cl 5.3755 8.0517 5.3755
Cl 5.3755 5.3755 8.0517
```

***

3.
Entry from Alexandria: a relaxed structure of Na3SmCl6 (PBE).

Results
* symmetry: R3 (146)
* total energy: -3.976 eV/atom
* raw formation energy: -2.0000 eV per atom

Geometry as extended XYZ:
```
10
Lattice="3.5403 2.0440 6.3716 -3.5403 2.0440 6.3716 0.0000 -4.0880 6.3716" Properties=species:S:1:pos:R:3 pbc="T T T"
Na 0.0000 0.0000 0.0000
Na 0.0000 0.0000 3.8371
Na 0.0000 0.0000 9.4546
Sm 0.0000 0.0000 13.2683
Cl -1.2146 -2.2415 8.2622
Cl -2.1015 0.0091 11.5088
Cl -1.3339 2.1727 8.2622
Cl 1.0429 -1.8245 11.5088
Cl 2.5486 0.0689 8.2622
Cl 1.0586 1.8155 11.5088
```

***

4.
Entry from Alexandria: a relaxed structure of NaSm2Cl8 (PBE).

Results
* symmetry: C2/m (12)
* total energy: -4.208 eV/atom
* raw formation energy: -1.8874 eV per atom

Geometry as extended XYZ:
```
11
Lattice="4.2531 -6.4486 0.0000 4.2531 6.4486 0.0000 -0.6700 0.0000 5.2751" Properties=species:S:1:pos:R:3 pbc="T T T"
Na 0.0000 0.0000 0.0000
Sm 3.9181 2.5209 2.6375
Sm 3.9181 -2.5209 2.6375
Cl 1.3174 1.6641 2.9431
Cl 4.2531 3.3545 0.0000
Cl 1.3174 -1.6641 2.9431
Cl 3.4271 0.0000 1.0393
Cl 4.4092 0.0000 4.2358
Cl 6.5188 1.6641 2.3320
Cl 4.2531 -3.3545 0.0000
Cl 6.5188 -1.6641 2.3320
```

***

5.
Entry from Alexandria: a relaxed structure of NaSm2Cl6 (PBE).

Results
* symmetry: P4_2/mnm (136)
* total energy: -4.466 eV/atom
* raw formation energy: -2.0395 eV per atom

Geometry as extended XYZ:
```
18
Lattice="6.6737 0.0000 0.0000 0.0000 6.6737 0.0000 0.0000 0.0000 11.9386" Properties=species:S:1:pos:R:3 pbc="T T T"
Na 0.0000 0.0000 0.0000
Na 3.3368 3.3368 5.9693
Sm 0.0000 0.0000 4.1199
Sm 0.0000 0.0000 7.8187
Sm 3.3368 3.3368 1.8494
Sm 3.3368 3.3368 10.0891
Cl 1.3857 1.3857 2.0783
Cl 1.3857 1.3857 9.8602
Cl 1.4210 1.4210 5.9693
Cl 1.9158 4.7578 0.0000
Cl 1.9512 4.7225 3.8909
Cl 1.9512 4.7225 8.0476
Cl 4.7225 1.9512 3.8909
Cl 4.7225 1.9512 8.0476
Cl 4.7578 1.9158 0.0000
Cl 5.2527 5.2527 5.9693
Cl 5.2880 5.2880 2.0783
Cl 5.2880 5.2880 9.8602
```

***

6.
Entry from Alexandria: a relaxed structure of NaSm2Cl7 (PBE).

Results
* symmetry: R-3m (166)
* total energy: -4.477 eV/atom
* raw formation energy: -2.1091 eV per atom

Geometry as extended XYZ:
```
10
Lattice="2.4503 1.4147 13.2334 -2.4503 1.4147 13.2334 0.0000 -2.8293 13.2334" Properties=species:S:1:pos:R:3 pbc="T T T"
Na 0.0000 0.0000 0.0000
Sm 0.0000 0.0000 17.0997
Sm 0.0000 0.0000 22.6006
Cl 0.0000 0.0000 3.1783
Cl 0.0000 0.0000 8.6882
Cl 0.0000 0.0000 14.4203
Cl 0.0000 0.0000 19.8501
Cl 0.0000 0.0000 25.2800
Cl 0.0000 0.0000 31.0121
Cl 0.0000 0.0000 36.5220
```

***

7.
Entry from Alexandria: a relaxed structure of NaSm2Cl6 (PBE).

Results
* symmetry: P-31m (162)
* total energy: -4.460 eV/atom
* raw formation energy: -2.0332 eV per atom

Geometry as extended XYZ:
```
9
Lattice="6.8915 0.0000 0.0000 -3.4457 5.9682 0.0000 0.0000 0.0000 6.5161" Properties=species:S:1:pos:R:3 pbc="T T T"
Na 0.0000 0.0000 0.0000
Sm 0.0000 3.9788 3.2580
Sm 3.4457 1.9894 3.2580
Cl -1.1709 2.0281 4.8291
Cl -2.2748 3.9401 1.6869
Cl 2.3419 0.0000 4.8291
Cl 1.1709 2.0281 1.6869
Cl 4.5496 0.0000 1.6869
Cl 2.2748 3.9401 4.8291
```

***

8.
Entry from Alexandria: a relaxed structure of NaSmCl4 (PBE).

Results
* symmetry: C2/m (12)
* total energy: -4.294 eV/atom
* raw formation energy: -2.0570 eV per atom

Geometry as extended XYZ:
```
12
Lattice="8.8590 -2.6848 0.0000 8.8590 2.6848 0.0000 -2.9945 0.0000 8.9132" Properties=species:S:1:pos:R:3 pbc="T T T"
Na 1.1101 0.0000 1.7837
Na 13.6133 0.0000 7.1295
Sm 1.0566 0.0000 7.0337
Sm 13.6668 0.0000 1.8795
Cl -1.4323 0.0000 7.9227
Cl 0.5789 0.0000 4.5354
Cl 4.5587 0.0000 1.1767
Cl 3.7183 0.0000 6.9351
Cl 11.0051 0.0000 1.9781
Cl 10.1647 0.0000 7.7366
Cl 14.1445 0.0000 4.3779
Cl 16.1557 0.0000 0.9905
```

***

9.
Entry from Alexandria: a relaxed structure of Na2SmCl6 (PBE).

Results
* symmetry: C2/m (12)
* total energy: -3.756 eV/atom
* raw formation energy: -1.7078 eV per atom

Geometry as extended XYZ:
```
9
Lattice="5.7057 -2.1300 0.0000 5.7057 2.1300 0.0000 -5.5700 0.0000 11.1409" Properties=species:S:1:pos:R:3 pbc="T T T"
Na 0.3971 0.0000 3.7851
Na 5.4443 0.0000 7.3558
Sm 5.7057 0.0000 0.0000
Cl -1.5232 0.0000 5.9730
Cl 1.5672 0.0000 0.8030
Cl 1.0291 0.0000 8.6215
Cl 4.8123 0.0000 2.5194
Cl 4.2743 0.0000 10.3379
Cl 7.3646 0.0000 5.1679
```

***

10.
Entry from Alexandria: a relaxed structure of Na3SmCl6 (PBE).

Results
* symmetry: P2_1/c (14)
* total energy: -3.961 eV/atom
* raw formation energy: -1.9859 eV per atom

Geometry as extended XYZ:
```
20
Lattice="7.0243 0.0000 0.0000 0.0000 7.3592 0.0000 -6.8242 0.0000 10.4262" Properties=species:S:1:pos:R:3 pbc="T T T"
Na 0.0000 0.0000 0.0000
Na -3.4121 3.6796 5.2131
Na -3.4937 0.4821 7.5931
Na -0.0816 3.1975 2.3801
Na 0.2817 4.1617 8.0461
Na 3.6938 6.8771 2.8330
Sm 0.1001 0.0000 5.2131
Sm 3.5121 3.6796 0.0000
Cl -2.1674 1.3303 4.6191
Cl -5.5795 2.3493 9.8322
Cl -1.1377 5.1245 4.2653
Cl -4.5498 5.9143 9.4784
Cl 1.0454 0.5980 2.7305
Cl -2.3666 3.0816 7.9436
Cl 2.5668 4.2776 2.4826
Cl -0.8453 6.7611 7.6956
Cl 4.7499 1.4449 0.9478
Cl 1.3378 2.2347 6.1608
Cl 5.7796 5.0099 0.5940
Cl 2.3675 6.0289 5.8070
```

***

11.
Entry from Alexandria: a relaxed structure of NaSmCl4 (PBE).

Results
* symmetry: I4_1md (109)
* total energy: -4.343 eV/atom
* raw formation energy: -2.1058 eV per atom

Geometry as extended XYZ:
```
12
Lattice="-4.5964 4.5964 4.2428 4.5964 -4.5964 4.2428 4.5964 4.5964 -4.2428" Properties=species:S:1:pos:R:3 pbc="T T T"
Na 0.0000 0.0000 0.0000
Na 0.0000 4.5964 2.1214
Sm 4.5964 0.0000 2.3387
Sm 0.0000 0.0000 4.4601
Cl 4.5964 1.8202 0.1892
Cl 2.7762 4.5964 -1.9322
Cl 1.8202 0.0000 2.3107
Cl 4.5964 -1.8304 4.2193
Cl 4.5964 1.8304 4.2193
Cl 2.7660 4.5964 2.0979
Cl 1.8304 0.0000 6.3407
Cl 0.0000 2.7762 4.4321
```

***

12.
Entry from Alexandria: a relaxed structure of NaSm2Cl6 (PBE).

Results
* symmetry: P3 (143)
* total energy: -4.444 eV/atom
* raw formation energy: -2.0179 eV per atom

Geometry as extended XYZ:
```
27
Lattice="13.8958 0.0000 0.0000 -6.9479 12.0341 0.0000 0.0000 0.0000 3.8296" Properties=species:S:1:pos:R:3 pbc="T T T"
Na 0.0000 0.0000 0.0000
Na 0.0000 8.0227 1.9145
Na 6.9479 4.0114 0.1254
Sm -2.2375 3.9886 1.1086
Sm -4.5685 8.0568 3.0231
Sm -2.3749 11.9775 1.1086
Sm 2.2548 4.0493 3.0231
Sm 2.3137 11.9622 3.0231
Sm 4.6124 8.1021 1.1086
Cl -4.8671 10.1618 1.1055
Cl -2.6790 7.1356 1.1100
Cl 0.5811 2.7382 1.1055
Cl -0.5641 5.2938 3.0206
Cl 2.6883 0.8749 3.0254
Cl -2.0813 9.8757 3.0206
Cl 2.1078 6.1462 1.1100
Cl 4.1927 3.2570 1.1066
Cl 0.5712 10.7864 1.1100
Cl 6.2216 1.2423 3.0287
Cl 2.6454 8.8987 3.0206
Cl 4.9130 6.0249 3.0287
Cl 8.9788 2.0025 1.1066
Cl 4.2860 11.1682 1.1055
Cl 7.6722 6.7746 1.1066
Cl 6.3614 9.2685 3.0254
Cl 9.7091 4.7669 3.0287
Cl 11.7939 1.8907 3.0254
```

***

Spin magnetization in μB per cell, matching the order above: 0.00 0.00 0.00 0.97 2.00 0.00 0.89 0.00 1.00 0.00 0.00 0.00